Material: Li2Mn2CoO6
Method: DFT, PBE+U
State: relaxed

## Properties
Energy above the most stable polymorph in this dataset   8 meV per atom
Density   4.0 g cm⁻³
DFT total energy   -6.3911 eV/atom

Unit cell a=5.068 b=5.089 c=10.294 alpha=90.00 beta=90.01 gamma=119.87
Last column: magnetic moment on the atom in μB.
Fractional coordinates of all 22 atoms:
Li1 0.672 0.500 0.750  0.00
Li2 0.828 0.500 0.250  0.00
Li3 0.172 0.500 0.750  0.00
Li4 0.328 0.500 0.250  0.00
Mn1 0.837 0.673 0.500  3.20
Mn2 0.663 0.327 0.000  3.20
Mn3 0.337 0.673 0.000  3.20
Mn4 0.163 0.327 0.500  3.20
Co1 0.500 0.000 0.500  2.71
Co2 0.000 0.000 0.000  2.71
O1 0.148 0.000 0.599  -0.05
O2 0.352 0.000 0.099  -0.05
O3 0.648 0.000 0.901  -0.05
O4 0.852 0.000 0.401  -0.05
O5 0.638 0.635 0.105  -0.03
O6 0.362 0.365 0.895  -0.03
O7 0.503 0.365 0.395  -0.03
O8 0.862 0.365 0.605  -0.03
O9 0.997 0.635 0.895  -0.03
O10 0.138 0.635 0.395  -0.03
O11 0.497 0.635 0.605  -0.03
O12 0.003 0.365 0.105  -0.03

---

Material: Li4MnCo2O7
Method: DFT, PBE+U
State: relaxed

## Properties
Energy above the most stable polymorph in this dataset   87 meV per atom
Density   4.2 g cm⁻³
DFT total energy   -5.7947 eV/atom

Unit cell a=6.558 b=6.558 c=14.418 alpha=69.17 beta=69.17 gamma=25.55
Last column: magnetic moment on the atom in μB.
Fractional coordinates of all 28 atoms:
Li1 0.285 0.285 0.065  0.00
Li2 0.863 0.863 0.219  0.00
Li3 0.423 0.423 0.366  0.00
Li4 0.717 0.717 0.919  0.01
Li5 0.149 0.149 0.775  0.01
Li6 0.990 0.990 0.514  0.01
Li7 0.574 0.574 0.644  0.01
Li8 0.285 0.285 0.569  0.00
Mn1 0.002 0.002 0.001  3.25
Mn2 0.144 0.144 0.288  3.25
Co1 0.573 0.573 0.145  2.68
Co2 0.717 0.717 0.432  -0.64
Co3 0.843 0.843 0.707  2.92
Co4 0.427 0.427 0.852  1.92
O1 0.432 0.432 0.096  -0.02
O2 0.013 0.013 0.254  0.07
O3 0.587 0.587 0.384  -0.09
O4 0.873 0.873 0.955  -0.09
O5 0.290 0.290 0.815  0.20
O6 0.152 0.152 0.518  0.00
O7 0.717 0.717 0.678  0.33
O8 0.133 0.133 0.037  0.07
O9 0.713 0.713 0.194  -0.03
O10 0.273 0.273 0.331  -0.03
O11 0.563 0.563 0.909  -0.03
O12 0.992 0.992 0.763  -0.01
O13 0.843 0.843 0.458  -0.16
O14 0.427 0.427 0.615  0.15

---

Material: Li7Mn4CoO12
Method: DFT, PBE+U
State: relaxed

## Properties
Energy above the most stable polymorph in this dataset   75 meV per atom
Density   4.1 g cm⁻³
DFT total energy   -6.1591 eV/atom

Unit cell a=5.141 b=5.753 c=7.694 alpha=100.72 beta=108.38 gamma=89.92
Last column: magnetic moment on the atom in μB.
Fractional coordinates of all 24 atoms:
Li1 0.505 0.262 0.001  -0.01
Li2 0.154 0.412 0.679  0.00
Li3 0.845 0.579 0.318  0.00
Li4 0.501 0.741 0.002  0.00
Li5 0.156 0.923 0.668  0.01
Li6 0.846 0.085 0.333  0.00
Li7 0.000 0.497 0.999  0.00
Mn1 0.998 0.005 0.998  3.86
Mn2 0.339 0.333 0.330  0.03
Mn3 0.659 0.664 0.671  3.17
Mn4 0.342 0.832 0.330  3.17
Co1 0.657 0.166 0.668  0.03
O1 0.958 0.285 0.175  -0.04
O2 0.572 0.455 0.813  -0.04
O3 0.274 0.629 0.491  -0.05
O4 0.966 0.805 0.176  -0.05
O5 0.570 0.949 0.814  0.01
O6 0.279 0.118 0.494  -0.05
O7 0.038 0.197 0.826  -0.04
O8 0.725 0.378 0.513  -0.03
O9 0.431 0.553 0.185  -0.06
O10 0.033 0.715 0.822  -0.06
O11 0.721 0.876 0.510  -0.06
O12 0.433 0.038 0.183  0.02

---

Material: Li4MnCo2O7
Method: DFT, PBE+U
State: relaxed

## Properties
Energy above the most stable polymorph in this dataset   55 meV per atom
Density   4.3 g cm⁻³
DFT total energy   -5.8265 eV/atom

Unit cell a=4.960 b=5.054 c=10.198 alpha=101.36 beta=97.48 gamma=100.30
Last column: magnetic moment on the atom in μB.
Fractional coordinates of all 28 atoms:
Li1 0.000 0.500 0.000  0.00
Li2 0.154 0.776 0.292  0.00
Li3 0.606 0.639 0.161  0.00
Li4 0.730 0.922 0.430  0.01
Li5 0.270 0.078 0.570  0.01
Li6 0.846 0.224 0.708  0.00
Li7 0.394 0.361 0.839  0.00
Li8 0.000 0.500 0.500  0.01
Mn1 0.710 0.932 0.923  3.84
Mn2 0.290 0.068 0.077  3.84
Co1 0.871 0.209 0.225  0.02
Co2 0.129 0.791 0.775  0.02
Co3 0.435 0.355 0.365  1.04
Co4 0.565 0.645 0.635  1.04
O1 0.772 0.596 0.806  -0.05
O2 0.946 0.870 0.113  0.03
O3 0.344 0.740 0.949  -0.04
O4 0.530 0.025 0.265  0.03
O5 0.092 0.152 0.381  0.04
O6 0.616 0.316 0.534  -0.01
O7 0.222 0.467 0.676  -0.01
O8 0.228 0.404 0.194  -0.05
O9 0.384 0.684 0.466  -0.01
O10 0.778 0.533 0.324  -0.01
O11 0.908 0.848 0.619  0.04
O12 0.470 0.975 0.735  0.03
O13 0.054 0.130 0.887  0.03
O14 0.656 0.260 0.051  -0.04

---

Material: Li4MnCo2O7
Method: DFT, PBE+U
State: relaxed

## Properties
Energy above the most stable polymorph in this dataset   95 meV per atom
Density   4.1 g cm⁻³
DFT total energy   -5.7865 eV/atom

Unit cell a=4.991 b=5.269 c=10.214 alpha=95.83 beta=101.47 gamma=102.58
Last column: magnetic moment on the atom in μB.
Fractional coordinates of all 28 atoms:
Li1 0.500 0.000 0.500  0.00
Li2 0.076 0.145 0.645  0.01
Li3 0.645 0.287 0.789  0.00
Li4 0.355 0.713 0.211  0.00
Li5 0.924 0.855 0.355  0.01
Li6 0.214 0.435 0.930  0.01
Li7 0.786 0.565 0.070  0.01
Li8 0.500 0.000 0.000  0.01
Mn1 0.788 0.575 0.574  3.83
Mn2 0.212 0.425 0.426  3.83
Co1 0.357 0.721 0.718  1.94
Co2 0.933 0.873 0.864  2.45
Co3 0.067 0.127 0.136  2.45
Co4 0.643 0.279 0.282  1.94
O1 0.567 0.635 0.402  0.02
O2 0.142 0.781 0.548  0.00
O3 0.702 0.923 0.694  0.00
O4 0.409 0.346 0.121  0.07
O5 0.988 0.490 0.258  0.04
O6 0.252 0.048 0.824  0.22
O7 0.875 0.200 0.972  0.17
O8 0.433 0.365 0.598  0.02
O9 0.012 0.510 0.742  0.04
O10 0.591 0.654 0.879  0.07
O11 0.298 0.077 0.306  0.00
O12 0.858 0.219 0.452  0.00
O13 0.125 0.800 0.028  0.17
O14 0.748 0.952 0.176  0.22

---

Material: Li2MnCo3O8
Method: DFT, PBE+U
State: relaxed

## Properties
Energy above the most stable polymorph in this dataset   84 meV per atom
Density   4.4 g cm⁻³
DFT total energy   -5.9794 eV/atom

Unit cell a=5.709 b=5.709 c=10.302 alpha=75.02 beta=75.03 gamma=60.95
Last column: magnetic moment on the atom in μB.
Fractional coordinates of all 28 atoms:
Li1 0.264 0.236 0.250  -0.01
Li2 0.736 0.764 0.750  -0.01
Li3 0.747 0.754 0.250  0.02
Li4 0.253 0.246 0.750  0.02
Mn1 0.500 0.500 0.500  3.19
Mn2 0.000 0.000 0.000  3.19
Co1 0.500 0.500 0.000  3.10
Co2 0.000 0.000 0.500  3.10
Co3 0.000 0.500 0.000  1.14
Co4 0.500 0.000 0.500  0.05
Co5 0.500 0.000 0.000  0.05
Co6 0.000 0.500 0.500  1.14
O1 0.644 0.637 0.099  0.15
O2 0.137 0.144 0.599  0.15
O3 0.863 0.856 0.401  0.15
O4 0.356 0.363 0.901  0.15
O5 0.360 0.363 0.399  -0.08
O6 0.863 0.860 0.899  -0.08
O7 0.137 0.140 0.101  -0.08
O8 0.640 0.637 0.601  -0.08
O9 0.383 0.860 0.392  0.07
O10 0.885 0.363 0.893  0.05
O11 0.863 0.385 0.393  0.05
O12 0.360 0.883 0.892  0.07
O13 0.640 0.117 0.108  0.07
O14 0.137 0.615 0.607  0.05
O15 0.115 0.637 0.107  0.05
O16 0.617 0.140 0.608  0.07

---

Material: Li7Mn4CoO12
Method: DFT, PBE+U
State: relaxed

## Properties
Energy above the most stable polymorph in this dataset   14 meV per atom
Density   4.0 g cm⁻³
DFT total energy   -6.2205 eV/atom

Unit cell a=5.112 b=5.949 c=7.670 alpha=79.61 beta=77.45 gamma=73.34
Last column: magnetic moment on the atom in μB.
Fractional coordinates of all 24 atoms:
Li1 0.502 0.833 0.176  0.00
Li2 0.495 0.326 0.172  0.01
Li3 0.503 0.492 0.494  0.00
Li4 0.505 0.014 0.492  0.00
Li5 0.490 0.176 0.827  0.00
Li6 0.501 0.663 0.833  0.01
Li7 0.001 0.167 0.336  0.01
Mn1 0.998 0.004 0.001  3.87
Mn2 0.007 0.661 0.334  3.19
Mn3 0.000 0.495 0.003  3.18
Mn4 0.997 0.838 0.663  3.18
Co1 0.996 0.331 0.660  2.69
O1 0.227 0.185 0.066  -0.05
O2 0.231 0.649 0.095  -0.01
O3 0.224 0.821 0.428  -0.07
O4 0.236 0.357 0.414  0.02
O5 0.218 0.520 0.760  -0.03
O6 0.223 0.983 0.758  -0.03
O7 0.781 0.511 0.242  -0.07
O8 0.782 0.976 0.240  -0.07
O9 0.763 0.140 0.597  0.01
O10 0.773 0.684 0.570  -0.03
O11 0.782 0.819 0.913  -0.08
O12 0.763 0.356 0.924  0.05

---

Material: Li4MnCo2O7
Method: DFT, PBE+U
State: relaxed

## Properties
Energy above the most stable polymorph in this dataset   447 meV per atom
Density   3.3 g cm⁻³
DFT total energy   -5.4348 eV/atom

Unit cell a=6.396 b=8.025 c=7.788 alpha=123.98 beta=89.29 gamma=104.43
Last column: magnetic moment on the atom in μB.
Fractional coordinates of all 28 atoms:
Li1 0.844 0.534 0.785  0.00
Li2 0.172 0.283 0.803  0.01
Li3 0.222 0.659 0.702  0.00
Li4 0.621 0.231 0.442  0.00
Li5 0.828 0.975 0.366  0.01
Li6 0.331 0.257 0.110  0.00
Li7 0.545 0.000 0.069  0.01
Li8 0.547 0.672 0.056  0.01
Mn1 0.414 0.895 0.521  4.55
Mn2 0.966 0.927 0.812  3.90
Co1 0.612 0.597 0.480  2.38
Co2 0.988 0.410 0.332  2.66
Co3 0.178 0.886 0.177  2.63
Co4 0.738 0.284 0.978  2.56
O1 0.953 0.265 0.476  0.08
O2 0.248 0.936 0.962  0.14
O3 0.601 0.269 0.736  0.06
O4 0.133 0.989 0.620  -0.02
O5 0.325 0.586 0.434  0.10
O6 0.895 0.636 0.592  0.03
O7 0.856 0.777 0.074  0.05
O8 0.480 0.372 0.922  0.07
O9 0.485 0.926 0.280  0.09
O10 0.039 0.852 0.392  0.09
O11 0.017 0.237 0.010  0.07
O12 0.643 0.304 0.229  0.16
O13 0.740 0.826 0.942  -0.03
O14 0.080 0.413 0.695  0.01

---

Material: Li2Mn3CoO8
Method: DFT, PBE+U
State: relaxed

## Properties
Energy above the most stable polymorph in this dataset   1 meV per atom
Density   4.3 g cm⁻³
DFT total energy   -6.6272 eV/atom

Unit cell a=5.804 b=5.784 c=5.804 alpha=62.14 beta=60.10 gamma=62.14
Last column: magnetic moment on the atom in μB.
Fractional coordinates of all 14 atoms:
Li1 0.115 0.137 0.115  0.00
Li2 0.885 0.863 0.885  0.00
Mn1 0.000 0.500 0.500  3.17
Mn2 0.500 0.000 0.500  -3.85
Mn3 0.500 0.500 0.000  3.17
Co1 0.500 0.500 0.500  0.01
O1 0.242 0.291 0.242  -0.10
O2 0.758 0.709 0.758  -0.10
O3 0.255 0.271 0.704  -0.02
O4 0.704 0.271 0.255  -0.02
O5 0.269 0.708 0.269  -0.09
O6 0.731 0.292 0.731  -0.09
O7 0.296 0.729 0.745  -0.02
O8 0.745 0.729 0.296  -0.02

---

Material: Li7Mn4CoO12
Method: DFT, PBE+U
State: relaxed

## Properties
Energy above the most stable polymorph in this dataset   61 meV per atom
Density   3.9 g cm⁻³
DFT total energy   -6.1731 eV/atom

Unit cell a=3.008 b=7.662 c=10.173 alpha=107.36 beta=87.82 gamma=97.95
Last column: magnetic moment on the atom in μB.
Fractional coordinates of all 24 atoms:
Li1 0.809 0.661 0.747  0.00
Li2 0.145 0.328 0.247  0.00
Li3 0.520 0.006 0.743  0.00
Li4 0.159 0.335 0.744  0.01
Li5 0.506 0.999 0.264  0.00
Li6 0.869 0.681 0.260  0.00
Li7 0.972 0.989 0.488  0.01
Mn1 0.998 0.000 0.999  3.85
Mn2 0.340 0.672 0.500  3.18
Mn3 0.664 0.333 0.998  3.84
Mn4 0.332 0.668 0.002  3.85
Co1 0.670 0.322 0.504  2.44
O1 0.381 0.830 0.883  0.01
O2 0.785 0.512 0.400  -0.08
O3 0.048 0.161 0.879  0.01
O4 0.716 0.499 0.883  0.02
O5 0.084 0.188 0.387  0.12
O6 0.408 0.816 0.383  0.01
O7 0.274 0.496 0.611  0.04
O8 0.613 0.171 0.116  0.01
O9 0.876 0.808 0.609  -0.10
O10 0.606 0.187 0.617  0.30
O11 0.949 0.839 0.119  0.01
O12 0.275 0.499 0.115  0.01

---

Material: Li4MnCo2O7
Method: DFT, PBE+U
State: relaxed

## Properties
Energy above the most stable polymorph in this dataset   47 meV per atom
Density   4.3 g cm⁻³
DFT total energy   -5.8345 eV/atom

Unit cell a=14.567 b=14.567 c=5.799 alpha=83.39 beta=83.39 gamma=11.29
Last column: magnetic moment on the atom in μB.
Fractional coordinates of all 28 atoms:
Li1 0.568 0.568 0.223  0.00
Li2 0.720 0.720 0.635  0.00
Li3 0.863 0.863 0.077  0.01
Li4 0.143 0.143 0.928  0.00
Li5 0.288 0.288 0.351  0.00
Li6 0.426 0.426 0.785  -0.01
Li7 0.994 0.994 0.498  0.01
Li8 0.427 0.427 0.290  -0.01
Mn1 0.996 0.996 0.006  -3.06
Mn2 0.143 0.143 0.428  3.86
Co1 0.287 0.287 0.855  0.01
Co2 0.569 0.569 0.715  0.00
Co3 0.718 0.718 0.140  0.01
Co4 0.859 0.859 0.567  -0.86
O1 0.499 0.499 0.226  0.05
O2 0.638 0.638 0.665  -0.04
O3 0.784 0.784 0.081  0.00
O4 0.067 0.067 0.944  0.02
O5 0.218 0.218 0.369  0.06
O6 0.354 0.354 0.798  0.04
O7 0.921 0.921 0.543  -0.16
O8 0.648 0.648 0.191  -0.04
O9 0.791 0.791 0.630  0.00
O10 0.933 0.933 0.029  -0.06
O11 0.220 0.220 0.911  0.00
O12 0.356 0.356 0.353  0.03
O13 0.502 0.502 0.771  0.06
O14 0.068 0.068 0.489  0.07

---

Material: Li7Mn4CoO12
Method: DFT, PBE+U
State: relaxed

## Properties
Energy above the most stable polymorph in this dataset   21 meV per atom
Density   4.0 g cm⁻³
DFT total energy   -6.2128 eV/atom

Unit cell a=5.031 b=5.825 c=7.947 alpha=79.41 beta=80.32 gamma=73.24
Last column: magnetic moment on the atom in μB.
Fractional coordinates of all 24 atoms:
Li1 0.515 0.333 0.149  0.00
Li2 0.983 0.839 0.678  0.00
Li3 0.994 0.167 0.335  0.00
Li4 0.498 0.668 0.829  0.00
Li5 0.492 0.001 0.511  0.00
Li6 0.017 0.499 0.989  0.01
Li7 0.499 0.168 0.829  0.01
Mn1 0.012 0.001 0.993  3.85
Mn2 0.998 0.330 0.673  3.15
Mn3 0.507 0.833 0.163  3.21
Mn4 0.995 0.665 0.337  3.86
Co1 0.490 0.496 0.515  1.86
O1 0.789 0.317 0.901  -0.06
O2 0.270 0.810 0.394  -0.05
O3 0.258 0.141 0.091  -0.04
O4 0.738 0.642 0.592  -0.03
O5 0.742 0.978 0.256  -0.01
O6 0.232 0.500 0.738  0.07
O7 0.228 0.353 0.440  -0.10
O8 0.745 0.841 0.945  -0.07
O9 0.751 0.193 0.579  0.01
O10 0.268 0.684 0.078  0.00
O11 0.232 0.021 0.737  0.04
O12 0.747 0.519 0.252  0.01

---

Material: Li5MnCo2O8
Method: DFT, PBE+U
State: relaxed

## Properties
Energy above the most stable polymorph in this dataset   191 meV per atom
Density   4.0 g cm⁻³
DFT total energy   -5.5578 eV/atom

Unit cell a=2.850 b=2.850 c=19.794 alpha=85.87 beta=90.00 gamma=120.00
Last column: magnetic moment on the atom in μB.
Fractional coordinates of all 16 atoms:
Mn1 0.000 0.000 0.000  2.24
Co1 0.252 0.504 0.244  -0.01
Co2 0.748 0.496 0.756  -0.01
O1 0.811 0.621 0.568  -0.74
O2 0.063 0.127 0.810  0.00
O3 0.315 0.631 0.054  -0.02
O4 0.568 0.137 0.295  -0.01
O5 0.937 0.873 0.190  0.00
O6 0.189 0.379 0.432  -0.74
O7 0.432 0.863 0.705  -0.01
O8 0.685 0.369 0.946  -0.02
Li1 0.876 0.753 0.371  0.00
Li2 0.124 0.247 0.629  0.00
Li3 0.377 0.754 0.869  0.00
Li4 0.623 0.246 0.131  0.00
Li5 0.500 0.000 0.500  0.01